Entry 1:
Entry from the Alexandria database: a crystal of Rb3GeW relaxed with PBEsol (meta-GGA SCAN).

Lattice parameters (Å, degrees): 6.5877 6.5877 6.5877 90.00 90.00 90.00
With the nearest neighbours (Å) after each atom.
Space group Pm-3m (No. 221)
Asymmetric unit:
1 Rb 0.0000 0.0000 0.5000 (multiplicity 3)  2 Ge 3.29
2 Ge 0.0000 0.0000 0.0000 (multiplicity 1)  6 Rb 3.29
3 W 0.5000 0.5000 0.5000 (multiplicity 1)  12 Rb 4.66

Entry 2:
Entry from the Alexandria database: a crystal of LiP2W relaxed with PBEsol (meta-GGA SCAN).

Results
The offset from the most stable computed form is 0.0000 eV per atom.

Lattice parameters (Å, degrees): 8.7298 3.1182 4.0575 90.00 97.98 90.00
With the nearest neighbours (Å) after each atom.
Space group Cm (No. 8)
Asymmetric unit:
1 Li 0.0000 0.0000 0.0000 (multiplicity 2)  5 P 2.35-2.55
2 P 0.0493 0.5000 0.5349 (multiplicity 2)  1 P 2.27, 3 W 2.46-2.48, 2 Li 2.53
3 P 0.2302 0.5000 0.9940 (multiplicity 2)  1 P 2.27, 1 Li 2.35, 2 W 2.49
4 W 0.2623 0.0000 0.4783 (multiplicity 2)  7 P 2.46-2.66

Entry 3:
Entry from the Alexandria database: a crystal of FeNiSn3 relaxed with PBEsol (meta-GGA SCAN).

Results
The offset from the most stable computed form is 0.0207 eV per atom.

Lattice parameters (Å, degrees): 4.7662 4.7662 4.7662 90.00 90.00 90.00
With the nearest neighbours (Å) after each atom.
Space group Pm-3m (No. 221)
Asymmetric unit:
1 Fe 0.0000 0.0000 0.0000 (multiplicity 1)  6 Sn 2.38
2 Ni 0.5000 0.5000 0.5000 (multiplicity 1)  12 Sn 3.37
3 Sn 0.0000 0.0000 0.5000 (multiplicity 3)  2 Fe 2.38

Entry 4:
Entry from the Alexandria database: a crystal of MnBe2Fe relaxed with PBEsol (meta-GGA SCAN).

Lattice parameters (Å, degrees): 5.2078 5.2078 5.2078 90.00 90.00 90.00
With the nearest neighbours (Å) after each atom.
Space group F-43m (No. 216)
Asymmetric unit:
1 Mn 0.0000 0.0000 0.0000 (multiplicity 4)  4 Be 2.26, 4 Fe 2.26
2 Be 0.0000 0.0000 0.5000 (multiplicity 4)  4 Fe 2.26, 4 Be 2.26
3 Be 0.2500 0.2500 0.2500 (multiplicity 4)  4 Mn 2.26, 4 Be 2.26
4 Fe 0.2500 0.2500 0.7500 (multiplicity 4)  4 Mn 2.26, 4 Be 2.26

In order of appearance, magnetization = 3.00, 0.00, 0.00, 4.07 μB per cell.
In order of appearance, formation energy from the elements = 762, -52, 326, -34 kJ/mol of formula units.